K3LiCo2F9 | PBE with a Hubbard U | optimized geometry

Cell and atoms, written as POSCAR:
```
K3LiCo2F9
1.0
5.761 0.000 0.000
-2.880 4.989 0.000
0.000 0.000 7.009
K Li Co F
3 1 2 9
direct
0.333 0.667 0.655 K
0.000 0.000 0.000 K
0.667 0.333 0.345 K
0.000 0.000 0.500 Li
0.333 0.667 0.171 Co
0.667 0.333 0.829 Co
0.830 0.170 0.676 F
0.830 0.659 0.676 F
0.341 0.170 0.676 F
0.659 0.830 0.324 F
0.170 0.341 0.324 F
0.170 0.830 0.324 F
0.500 0.000 0.000 F
0.000 0.500 0.000 F
0.500 0.500 0.000 F
```

Values from the calculation:
- Crystal system: trigonal
- Volume: 201.4 Å³ per cell
- Size of the total moment: 7.000 Bohr magnetons per cell
- Energy: -4.634 eV/atom